ZrCrAgHg2 | PBE | relaxed

Values from the calculation:
DFT formation energy: 1038 meV per atom

Unit cell a=5.155 b=5.155 c=5.229 alpha=90.00 beta=90.00 gamma=90.00
Space group P4/mmm (No. 123)
Unique sites:
Zr 0.000 0.000 0.000
Cr 0.500 0.500 0.000
Ag 0.000 0.000 0.500
Hg 0.000 0.500 0.500


LiAlV2H | PBE | relaxed

Values from the calculation:
uncorrected energy: -5.54 eV per atom

Unit cell a=3.663 b=3.663 c=4.242 alpha=90.00 beta=90.00 gamma=90.00
Space group P4/mmm (No. 123)
Unique sites:
Li 0.000 0.000 0.000
Al 0.500 0.500 0.000
V 0.000 0.500 0.500
H 0.000 0.000 0.500


Y5HfGe4 | PBE | relaxed

Values from the calculation:
DFT formation energy: -561 meV per atom

Unit cell a=17.699 b=4.069 c=7.804 alpha=90.00 beta=106.17 gamma=90.00
Space group C2/m (No. 12)
Unique sites:
Y 0.000 0.000 0.000
Y 0.168 0.500 0.854
Y 0.169 0.500 0.339
Hf 0.000 0.000 0.500
Ge 0.000 0.500 0.261
Ge 0.164 0.000 0.598


SiTc2W | PBE | relaxed

Values from the calculation:
E_form (uncorrected): -5.09 kJ/mol of atoms

Unit cell a=2.878 b=3.915 c=5.189 alpha=90.00 beta=90.00 gamma=90.00
Space group Pmmm (No. 47)
Unique sites:
Si 0.000 0.000 0.000
Tc 0.500 0.500 0.235
W 0.000 0.000 0.500


Zr2CuSbH | PBE | relaxed

Values from the calculation:
uncorrected energy: -6.09 eV per atom

Unit cell a=4.387 b=4.387 c=4.195 alpha=90.00 beta=90.00 gamma=90.00
Space group P4/mmm (No. 123)
Unique sites:
Zr 0.000 0.500 0.000
Cu 0.000 0.000 0.500
Sb 0.500 0.500 0.500
H 0.000 0.000 0.000


LaHo2Tc | PBE | relaxed

Values from the calculation:
relative energy among the computed polymorphs: 0.0000 eV per atom
DFT formation energy: -102 meV per atom

Unit cell a=7.396 b=9.314 c=6.462 alpha=90.00 beta=90.00 gamma=90.00
Space group Pnma (No. 62)
Unique sites:
La 0.054 0.250 0.128
Ho 0.175 0.067 0.663
Tc 0.124 0.750 0.475


Ba2GaNiBr | PBE | relaxed

Values from the calculation:
E_form (uncorrected): -69.88 kJ/mol of atoms

Unit cell a=6.083 b=6.083 c=4.549 alpha=90.00 beta=90.00 gamma=90.00
Space group P4/mmm (No. 123)
Unique sites:
Ba 0.000 0.500 0.000
Ga 0.000 0.000 0.500
Ni 0.000 0.000 0.000
Br 0.500 0.500 0.500


SmZn3NiPt | PBE | relaxed

Values from the calculation:
DFT formation energy: -366 meV per atom

Unit cell a=7.851 b=10.787 c=5.396 alpha=90.00 beta=90.00 gamma=90.00
Space group Cmcm (No. 63)
Unique sites:
Sm 0.000 0.204 0.250
Zn 0.000 0.329 0.750
Zn 0.247 0.500 0.000
Ni 0.000 0.453 0.250
Pt 0.000 0.091 0.750


SrTaSb2O8 | PBE | relaxed

Values from the calculation:
E_form (uncorrected): -193.09 kJ/mol of atoms

Unit cell a=4.958 b=6.716 c=4.962 alpha=90.00 beta=92.68 gamma=90.00
Space group P2/m (No. 10)
Unique sites:
Sr 0.000 0.000 0.000
Ta 0.000 0.500 0.000
Sb 0.500 0.253 0.500
O 0.203 0.291 0.202
O 0.299 0.500 0.700
O 0.330 0.000 0.668


Zr2ZnTe | PBE | relaxed

Values from the calculation:
relative energy among the computed polymorphs: 0.0510 eV per atom
E_form (uncorrected): -37.75 kJ/mol of atoms

Unit cell a=3.9088 b=3.9088 c=20.5627 alpha=90.00 beta=90.00 gamma=120.00
Space group R-3m (No. 166, hexagonal axes)
Unique sites:
Zr 0.0000 0.0000 0.2408
Zn 0.0000 0.0000 0.5000
Te 0.0000 0.0000 0.0000


Cs4La3ZnO8 | PBE | relaxed

Values from the calculation:
E_form (uncorrected): -201.58 kJ/mol of atoms

Unit cell a=13.295 b=7.218 c=7.953 alpha=90.00 beta=119.01 gamma=90.00
Space group C2/m (No. 12)
Unique sites:
Cs 0.000 0.000 0.000
Cs 0.000 0.500 0.000
Cs 0.250 0.250 0.000
La 0.000 0.000 0.500
La 0.250 0.250 0.500
Zn 0.000 0.500 0.500
O 0.030 0.283 0.351
O 0.212 0.000 0.670
O 0.232 0.000 0.293


Ba4AlTc | PBE | relaxed

Values from the calculation:
DFT formation energy: 1131 meV per atom

Unit cell a=9.983 b=9.983 c=9.983 alpha=90.00 beta=90.00 gamma=90.00
Space group F-43m (No. 216)
Unique sites:
Ba 0.125 0.125 0.125
Al 0.000 0.000 0.500
Tc 0.250 0.250 0.750


Number 11 is which compound?
Cs4La3ZnO8


What did the fifth record say?
Zr2CuSbH | PBE | relaxed

Values from the calculation:
uncorrected energy: -6.09 eV per atom

Unit cell a=4.387 b=4.387 c=4.195 alpha=90.00 beta=90.00 gamma=90.00
Space group P4/mmm (No. 123)
Unique sites:
Zr 0.000 0.500 0.000
Cu 0.000 0.000 0.500
Sb 0.500 0.500 0.500
H 0.000 0.000 0.000